A plane-wave DFT calculation with PBE was carried out for an optimized crystal structure of Tb2CeSi2.

Results
The value obtained for the density of states at the Fermi level is 13.63 states/eV/cell. Its energy relative to the elements, uncorrected is -0.51 eV/atom.

CIF file:
```
data_Tb2CeSi2
_cell_length_a 4.382
_cell_length_b 6.511
_cell_length_c 9.394
_cell_angle_alpha 77.20
_cell_angle_beta 76.51
_cell_angle_gamma 70.34
_symmetry_space_group_name_H-M 'P 1'
_symmetry_Int_Tables_number 1
_symmetry_space_group_name_Hall 'P 1'
loop_
_atom_site_label
_atom_site_type_symbol
_atom_site_fract_x
_atom_site_fract_y
_atom_site_fract_z
_atom_site_occupancy
Si1 Si 0.963 0.169 0.906 1
Tb1 Tb 0.488 0.339 0.685 1
Si2 Si 0.889 0.659 0.564 1
Ce1 Ce 0.784 0.079 0.352 1
Si3 Si 0.111 0.341 0.436 1
Tb2 Tb 0.312 0.284 0.092 1
Tb3 Tb 0.688 0.716 0.908 1
Ce2 Ce 0.216 0.921 0.648 1
Si4 Si 0.037 0.831 0.094 1
Tb4 Tb 0.512 0.661 0.315 1
```